Entry 1:
First-principles (PBE) data for a geometry-optimized InMoH2 structure, as listed in Alexandria via LeMat-Bulk.

a b c (Å): 3.990 3.990 3.990
angles (deg): 60.00 60.00 60.00
Site moments in Bohr magnetons follow the coordinates.
Fractional positions:
H 0.250 0.250 0.250  -0.01
H 0.750 0.750 0.750  -0.01
Mo 0.000 0.000 0.000  1.12
In 0.500 0.500 0.500  -0.05

Properties
As for the relative energy among the computed polymorphs: 790 meV per atom.

***

Entry 2:
First-principles (PBE) data for a geometry-optimized InMoH2 structure, as listed in Alexandria via LeMat-Bulk.

a b c (Å): 3.136 3.136 5.661
angles (deg): 73.92 73.92 60.00
Fractional positions:
In 0.494 0.494 0.519
Mo 0.675 0.675 0.976
H 0.036 0.036 0.891
H 0.295 0.295 0.114

Properties
As for the relative energy among the computed polymorphs: 0 meV per atom.

***

Entry 3:
First-principles (PBE) data for a geometry-optimized InMo3H structure, as listed in Alexandria via LeMat-Bulk.

a b c (Å): 4.948 4.948 4.948
angles (deg): 90.00 90.00 90.00
Fractional positions:
H 0.500 0.500 0.500
Mo 0.000 0.500 0.000
Mo 0.000 0.000 0.500
Mo 0.500 0.000 0.000
In 0.000 0.000 0.000

Properties
As for the relative energy among the computed polymorphs: 2909 meV per atom.

***

Entry 4:
First-principles (PBE) data for a geometry-optimized InMo2H2 structure, as listed in Alexandria via LeMat-Bulk.

a b c (Å): 3.279 3.279 5.830
angles (deg): 73.67 73.67 90.00
Fractional positions:
H 0.750 0.250 0.500
H 0.250 0.750 0.500
Mo 0.336 0.336 0.329
Mo 0.664 0.664 0.671
In 0.000 0.000 0.000

Properties
For the total energy, the calculation gives -30.486 eV per cell.

***

Entry 5:
First-principles (PBE) data for a geometry-optimized InMo2H structure, as listed in Alexandria via LeMat-Bulk.

a b c (Å): 5.181 5.181 5.946
angles (deg): 64.17 64.17 90.00
Fractional positions:
H 0.500 0.500 0.000
H 0.250 0.750 0.500
Mo 0.375 0.125 0.250
Mo 0.375 0.625 0.250
Mo 0.375 0.625 0.750
Mo 0.875 0.625 0.750
In 0.000 0.000 0.000
In 0.750 0.250 0.500

Properties
As for the relative energy among the computed polymorphs: 0 meV per atom.

***

Entry 6:
First-principles (PBE) data for a geometry-optimized InMo2H structure, as listed in Alexandria via LeMat-Bulk.

a b c (Å): 4.419 4.419 4.419
angles (deg): 60.00 60.00 60.00
Site moments in Bohr magnetons follow the coordinates.
Fractional positions:
H 0.000 0.000 0.000  0.00
Mo 0.250 0.250 0.250  0.50
Mo 0.750 0.750 0.750  0.50
In 0.500 0.500 0.500  0.00

Properties
As for the relative energy among the computed polymorphs: 669 meV per atom.

***

Entry 7:
First-principles (PBE) data for a geometry-optimized InMo3H structure, as listed in Alexandria via LeMat-Bulk.

a b c (Å): 4.111 4.111 4.111
angles (deg): 90.00 90.00 90.00
Fractional positions:
H 0.000 0.000 0.000
Mo 0.000 0.500 0.000
Mo 0.000 0.000 0.500
Mo 0.500 0.000 0.000
In 0.500 0.500 0.500

Properties
As for the relative energy among the computed polymorphs: 0 meV per atom.

***

Entry 8:
First-principles (PBE) data for a geometry-optimized NaInMo2H structure, as listed in Alexandria via LeMat-Bulk.

a b c (Å): 5.203 3.102 5.203
angles (deg): 90.00 90.00 90.00
Site moments in Bohr magnetons follow the coordinates.
Fractional positions:
Na 0.000 0.000 0.000  0.03
Mo 0.000 0.000 0.500  0.85
Mo 0.500 0.000 0.000  1.01
H 0.000 0.500 0.000  -0.01
In 0.500 0.500 0.500  -0.03

Properties
For the total energy, the calculation gives -19.928 eV per cell.

***

| no. | total moment (μB per cell) |
| --- | --- |
| 1 | 1.11 |
| 2 | 0.00 |
| 3 | 0.00 |
| 4 | 0.00 |
| 5 | 0.00 |
| 6 | 1.16 |
| 7 | 0.00 |
| 8 | 2.14 |